Crystalline Hg2Sb2O5 at its relaxed geometry, computed with PBE-GGA.

Results
- V: 132 Å³/cell
- Crystal system: tetragonal
- Space-group type: P4/mmm, No. 123
- Energy: -0.149 hartree per atom

```
data_Hg2Sb2O5
_chemical_formula_sum 'Hg2 Sb2 O5'
_cell_length_a 10.103
_cell_length_b 3.610
_cell_length_c 3.610
_cell_angle_alpha 90.00
_cell_angle_beta 90.00
_cell_angle_gamma 90.00
_space_group_name_H-M_alt 'P 1'
_space_group_IT_number 1
loop_
_space_group_symop_operation_xyz
'x,y,z'
loop_
_atom_site_label
_atom_site_type_symbol
_atom_site_fract_x
_atom_site_fract_y
_atom_site_fract_z
O1 O 0.881 0.000 0.500
O2 O 0.119 0.500 0.000
O3 O 0.119 0.000 0.500
O4 O 0.881 0.500 0.000
Hg1 Hg 0.266 0.500 0.500
Sb1 Sb 0.000 0.000 0.000
Sb2 Sb 0.500 0.000 0.000
O5 O 0.500 0.500 0.500
Hg2 Hg 0.734 0.500 0.500
```

---

Crystalline Nb4ZnGaN2 at its relaxed geometry, computed with PBE-GGA.

Results
- V: 115 Å³/cell
- Crystal system: hexagonal
- Space-group type: P-6m2, No. 187
- Energy: -0.303 hartree per atom
- M_tot: 0.0 μB/f.u.

```
data_Nb4ZnGaN2
_chemical_formula_sum 'Nb4 Zn1 Ga1 N2'
_cell_length_a 3.119
_cell_length_b 3.119
_cell_length_c 13.642
_cell_angle_alpha 90.00
_cell_angle_beta 90.00
_cell_angle_gamma 120.00
_space_group_name_H-M_alt 'P 1'
_space_group_IT_number 1
loop_
_space_group_symop_operation_xyz
'x,y,z'
loop_
_atom_site_label
_atom_site_type_symbol
_atom_site_fract_x
_atom_site_fract_y
_atom_site_fract_z
Nb1 Nb 0.000 0.000 0.338
Nb2 Nb 0.667 0.333 0.160
Nb3 Nb 0.667 0.333 0.840
Ga1 Ga 0.000 0.000 0.000
Zn1 Zn 0.667 0.333 0.500
N1 N 0.333 0.667 0.750
N2 N 0.333 0.667 0.250
Nb4 Nb 0.000 0.000 0.662
```

---

Crystalline TaAl2Ag2 at its relaxed geometry, computed with PBE-GGA.

Results
- V: 86 Å³/cell
- Crystal system: tetragonal
- Space-group type: I4/mmm, No. 139
- Energy: -0.177 hartree per atom
- M_tot: 0.0 μB/f.u.

```
data_TaAl2Ag2
_chemical_formula_sum 'Ta1 Al2 Ag2'
_cell_length_a 6.442
_cell_length_b 6.442
_cell_length_c 6.442
_cell_angle_alpha 145.44
_cell_angle_beta 145.44
_cell_angle_gamma 49.67
_space_group_name_H-M_alt 'P 1'
_space_group_IT_number 1
loop_
_space_group_symop_operation_xyz
'x,y,z'
loop_
_atom_site_label
_atom_site_type_symbol
_atom_site_fract_x
_atom_site_fract_y
_atom_site_fract_z
Al1 Al 0.601 0.601 0.000
Ag1 Ag 0.250 0.750 0.500
Ag2 Ag 0.750 0.250 0.500
Ta1 Ta 0.000 0.000 0.000
Al2 Al 0.399 0.399 0.000
```

---

Crystalline Li2SnW at its relaxed geometry, computed with PBE-GGA.

Results
- V: 68 Å³/cell
- Crystal system: cubic
- Space-group type: F-43m, No. 216
- Energy: -0.176 hartree per atom
- M_tot: 1.9 μB/f.u.

```
data_Li2SnW
_chemical_formula_sum 'Li2 Sn1 W1'
_cell_length_a 4.577
_cell_length_b 4.577
_cell_length_c 4.577
_cell_angle_alpha 60.00
_cell_angle_beta 60.00
_cell_angle_gamma 60.00
_space_group_name_H-M_alt 'P 1'
_space_group_IT_number 1
loop_
_space_group_symop_operation_xyz
'x,y,z'
loop_
_atom_site_label
_atom_site_type_symbol
_atom_site_fract_x
_atom_site_fract_y
_atom_site_fract_z
Li1 Li 0.000 0.000 0.000
W1 W 0.250 0.250 0.250
Sn1 Sn 0.500 0.500 0.500
Li2 Li 0.750 0.750 0.750
```

---

Crystalline FeCoB4 at its relaxed geometry, computed with PBE-GGA.

Results
- V: 44 Å³/cell
- Crystal system: orthorhombic
- Space-group type: Immm, No. 71
- Energy: -0.259 hartree per atom
- M_tot: 0.3 μB/f.u.

```
data_FeCoB4
_chemical_formula_sum 'Fe1 Co1 B4'
_cell_length_a 4.120
_cell_length_b 4.120
_cell_length_c 4.120
_cell_angle_alpha 137.53
_cell_angle_beta 101.47
_cell_angle_gamma 93.64
_space_group_name_H-M_alt 'P 1'
_space_group_IT_number 1
loop_
_space_group_symop_operation_xyz
'x,y,z'
loop_
_atom_site_label
_atom_site_type_symbol
_atom_site_fract_x
_atom_site_fract_y
_atom_site_fract_z
B1 B 0.084 0.751 0.333
B2 B 0.418 0.751 0.667
Fe1 Fe 0.500 0.500 0.000
Co1 Co 0.000 0.000 0.000
B3 B 0.582 0.249 0.333
B4 B 0.916 0.249 0.667
```

---

Crystalline KNbBr3 at its relaxed geometry, computed with PBE-GGA.

Results
- V: 190 Å³/cell
- Crystal system: cubic
- Space-group type: Pm-3m, No. 221
- Energy: -0.105 hartree per atom
- M_tot: 3.0 μB/f.u.

```
data_KNbBr3
_chemical_formula_sum 'K1 Nb1 Br3'
_cell_length_a 5.752
_cell_length_b 5.752
_cell_length_c 5.752
_cell_angle_alpha 90.00
_cell_angle_beta 90.00
_cell_angle_gamma 90.00
_space_group_name_H-M_alt 'P 1'
_space_group_IT_number 1
loop_
_space_group_symop_operation_xyz
'x,y,z'
loop_
_atom_site_label
_atom_site_type_symbol
_atom_site_fract_x
_atom_site_fract_y
_atom_site_fract_z
Nb1 Nb 0.500 0.500 0.500
Br1 Br 0.500 0.000 0.000
Br2 Br 0.000 0.000 0.500
Br3 Br 0.000 0.500 0.000
K1 K 0.000 0.000 0.000
```

---

Crystalline GdHoMg3Ni2 at its relaxed geometry, computed with PBE-GGA.

Results
- V: 151 Å³/cell
- Crystal system: orthorhombic
- Space-group type: Amm2, No. 38
- Energy: -0.142 hartree per atom
- M_tot: 0.0 μB/f.u.

```
data_GdHoMg3Ni2
_chemical_formula_sum 'Gd1 Ho1 Mg3 Ni2'
_cell_length_a 3.648
_cell_length_b 10.663
_cell_length_c 10.663
_cell_angle_alpha 21.42
_cell_angle_beta 90.00
_cell_angle_gamma 90.00
_space_group_name_H-M_alt 'P 1'
_space_group_IT_number 1
loop_
_space_group_symop_operation_xyz
'x,y,z'
loop_
_atom_site_label
_atom_site_type_symbol
_atom_site_fract_x
_atom_site_fract_y
_atom_site_fract_z
Ni1 Ni 0.500 0.787 0.787
Ni2 Ni 0.500 0.214 0.214
Mg1 Mg 0.500 0.080 0.080
Ho1 Ho 0.000 0.323 0.323
Mg2 Mg 0.000 0.500 0.500
Gd1 Gd 0.000 0.676 0.676
Mg3 Mg 0.500 0.920 0.920
```

---

Crystalline YHoB2Ir2C2 at its relaxed geometry, computed with PBE-GGA.

Results
- V: 108 Å³/cell
- Crystal system: tetragonal
- Space-group type: P4mm, No. 99
- Energy: -0.296 hartree per atom
- M_tot: 0.0 μB/f.u.

```
data_YHoB2Ir2C2
_chemical_formula_sum 'Y1 Ho1 B2 Ir2 C2'
_cell_length_a 3.730
_cell_length_b 3.730
_cell_length_c 7.777
_cell_angle_alpha 90.00
_cell_angle_beta 90.00
_cell_angle_gamma 90.00
_space_group_name_H-M_alt 'P 1'
_space_group_IT_number 1
loop_
_space_group_symop_operation_xyz
'x,y,z'
loop_
_atom_site_label
_atom_site_type_symbol
_atom_site_fract_x
_atom_site_fract_y
_atom_site_fract_z
Ho1 Ho 0.500 0.500 0.161
Ir1 Ir 0.000 0.500 0.499
C1 C 0.500 0.500 0.854
B1 B 0.500 0.500 0.660
C2 C 0.000 0.000 0.147
Ir2 Ir 0.500 0.000 0.499
Y1 Y 0.000 0.000 0.839
B2 B 0.000 0.000 0.341
```

---

Crystalline Tb2Ge5Ir3 at its relaxed geometry, computed with PBE-GGA.

Results
- V: 366 Å³/cell
- Crystal system: orthorhombic
- Space-group type: Ibam, No. 72
- Energy: -0.243 hartree per atom
- M_tot: 0.0 μB/f.u.

```
data_Tb2Ge5Ir3
_chemical_formula_sum 'Tb4 Ge10 Ir6'
_cell_length_a 6.029
_cell_length_b 8.389
_cell_length_c 8.389
_cell_angle_alpha 89.43
_cell_angle_beta 111.06
_cell_angle_gamma 111.06
_space_group_name_H-M_alt 'P 1'
_space_group_IT_number 1
loop_
_space_group_symop_operation_xyz
'x,y,z'
loop_
_atom_site_label
_atom_site_type_symbol
_atom_site_fract_x
_atom_site_fract_y
_atom_site_fract_z
Ir1 Ir 0.112 0.753 0.470
Ir2 Ir 0.750 0.000 0.000
Ge1 Ge 0.162 0.260 0.063
Ge2 Ge 0.250 0.500 0.500
Ge3 Ge 0.662 0.063 0.260
Ge4 Ge 0.838 0.740 0.937
Ir3 Ir 0.388 0.530 0.247
Ge5 Ge 0.338 0.937 0.740
Tb1 Tb 0.226 0.592 0.860
Ir4 Ir 0.250 0.000 0.000
Ge6 Ge 0.750 0.776 0.224
Ge7 Ge 0.250 0.776 0.224
Ir5 Ir 0.888 0.247 0.530
Tb2 Tb 0.274 0.140 0.408
Ir6 Ir 0.612 0.470 0.753
Ge8 Ge 0.750 0.224 0.776
Ge9 Ge 0.250 0.224 0.776
Tb3 Tb 0.774 0.408 0.140
Ge10 Ge 0.750 0.500 0.500
Tb4 Tb 0.726 0.860 0.592
```

---

Crystalline RbTcB at its relaxed geometry, computed with PBE-GGA.

Results
- V: 81 Å³/cell
- Crystal system: cubic
- Space-group type: F-43m, No. 216
- Energy: -0.106 hartree per atom
- M_tot: 3.0 μB/f.u.

```
data_RbTcB
_chemical_formula_sum 'Rb1 Tc1 B1'
_cell_length_a 4.859
_cell_length_b 4.859
_cell_length_c 4.859
_cell_angle_alpha 60.00
_cell_angle_beta 60.00
_cell_angle_gamma 60.00
_space_group_name_H-M_alt 'P 1'
_space_group_IT_number 1
loop_
_space_group_symop_operation_xyz
'x,y,z'
loop_
_atom_site_label
_atom_site_type_symbol
_atom_site_fract_x
_atom_site_fract_y
_atom_site_fract_z
Rb1 Rb 0.000 0.000 0.000
B1 B 0.250 0.250 0.250
Tc1 Tc 0.750 0.750 0.750
```

---

Crystalline Sr2NbMo at its relaxed geometry, computed with PBE-GGA.

Results
- V: 99 Å³/cell
- Crystal system: cubic
- Space-group type: F-43m, No. 216
- Energy: -0.184 hartree per atom
- M_tot: 0.1 μB/f.u.

```
data_Sr2NbMo
_chemical_formula_sum 'Sr2 Nb1 Mo1'
_cell_length_a 5.185
_cell_length_b 5.185
_cell_length_c 5.185
_cell_angle_alpha 60.00
_cell_angle_beta 60.00
_cell_angle_gamma 60.00
_space_group_name_H-M_alt 'P 1'
_space_group_IT_number 1
loop_
_space_group_symop_operation_xyz
'x,y,z'
loop_
_atom_site_label
_atom_site_type_symbol
_atom_site_fract_x
_atom_site_fract_y
_atom_site_fract_z
Sr1 Sr 0.500 0.500 0.500
Mo1 Mo 0.750 0.750 0.750
Sr2 Sr 0.250 0.250 0.250
Nb1 Nb 0.000 0.000 0.000
```

---

Crystalline MgNbB4 at its relaxed geometry, computed with PBE-GGA.

Results
- V: 248 Å³/cell
- Crystal system: orthorhombic
- Space-group type: Pbam, No. 55
- Energy: -0.241 hartree per atom
- M_tot: 0.0 μB/f.u.

```
data_MgNbB4
_chemical_formula_sum 'Mg4 Nb4 B16'
_cell_length_a 6.049
_cell_length_b 11.626
_cell_length_c 3.530
_cell_angle_alpha 90.00
_cell_angle_beta 90.00
_cell_angle_gamma 90.00
_space_group_name_H-M_alt 'P 1'
_space_group_IT_number 1
loop_
_space_group_symop_operation_xyz
'x,y,z'
loop_
_atom_site_label
_atom_site_type_symbol
_atom_site_fract_x
_atom_site_fract_y
_atom_site_fract_z
Nb1 Nb 0.640 0.412 0.000
B1 B 0.627 0.969 0.500
Nb2 Nb 0.360 0.588 0.000
B2 B 0.688 0.813 0.500
B3 B 0.873 0.469 0.500
B4 B 0.618 0.552 0.500
B5 B 0.497 0.300 0.500
B6 B 0.503 0.700 0.500
B7 B 0.127 0.531 0.500
Nb3 Nb 0.140 0.088 0.000
Mg1 Mg 0.624 0.152 0.000
B8 B 0.188 0.687 0.500
Nb4 Nb 0.860 0.912 0.000
B9 B 0.312 0.187 0.500
Mg2 Mg 0.124 0.348 0.000
B10 B 0.118 0.948 0.500
B11 B 0.373 0.031 0.500
B12 B 0.003 0.800 0.500
B13 B 0.997 0.200 0.500
Mg3 Mg 0.376 0.848 0.000
Mg4 Mg 0.876 0.652 0.000
B14 B 0.812 0.313 0.500
B15 B 0.882 0.052 0.500
B16 B 0.382 0.448 0.500
```

---

Crystalline Nd3Ho3CoTe2 at its relaxed geometry, computed with PBE-GGA.

Results
- V: 247 Å³/cell
- Crystal system: hexagonal
- Space-group type: P-62m, No. 189
- Energy: -0.191 hartree per atom
- M_tot: 0.4 μB/f.u.

```
data_Nd3Ho3CoTe2
_chemical_formula_sum 'Nd3 Ho3 Co1 Te2'
_cell_length_a 8.584
_cell_length_b 8.584
_cell_length_c 3.873
_cell_angle_alpha 90.00
_cell_angle_beta 90.00
_cell_angle_gamma 120.00
_space_group_name_H-M_alt 'P 1'
_space_group_IT_number 1
loop_
_space_group_symop_operation_xyz
'x,y,z'
loop_
_atom_site_label
_atom_site_type_symbol
_atom_site_fract_x
_atom_site_fract_y
_atom_site_fract_z
Te1 Te 0.667 0.333 0.500
Nd1 Nd 0.000 0.241 0.500
Ho1 Ho 0.592 0.000 0.000
Nd2 Nd 0.759 0.759 0.500
Te2 Te 0.333 0.667 0.500
Nd3 Nd 0.241 0.000 0.500
Ho2 Ho 0.000 0.592 0.000
Ho3 Ho 0.408 0.408 0.000
Co1 Co 0.000 0.000 0.000
```

---

Crystalline Pr2Nd2CBr2Cl3 at its relaxed geometry, computed with PBE-GGA.

Results
- V: 283 Å³/cell
- Crystal system: monoclinic
- Space-group type: C2/m, No. 12
- Energy: -0.195 hartree per atom
- M_tot: 0.3 μB/f.u.

```
data_Pr2Nd2CBr2Cl3
_chemical_formula_sum 'Pr2 Nd2 C1 Br2 Cl3'
_cell_length_a 9.375
_cell_length_b 9.375
_cell_length_c 8.132
_cell_angle_alpha 104.08
_cell_angle_beta 104.08
_cell_angle_gamma 24.10
_space_group_name_H-M_alt 'P 1'
_space_group_IT_number 1
loop_
_space_group_symop_operation_xyz
'x,y,z'
loop_
_atom_site_label
_atom_site_type_symbol
_atom_site_fract_x
_atom_site_fract_y
_atom_site_fract_z
Br1 Br 0.830 0.830 0.179
Nd1 Nd 0.000 0.000 0.785
Cl1 Cl 0.500 0.500 0.500
C1 C 0.500 0.500 0.000
Nd2 Nd 0.000 0.000 0.215
Cl2 Cl 0.159 0.159 0.347
Pr1 Pr 0.643 0.643 0.086
Pr2 Pr 0.357 0.357 0.914
Br2 Br 0.170 0.170 0.821
Cl3 Cl 0.841 0.841 0.653
```

---

Crystalline KGe2Pd2 at its relaxed geometry, computed with PBE-GGA.

Results
- V: 106 Å³/cell
- Crystal system: tetragonal
- Space-group type: I4/mmm, No. 139
- Energy: -0.166 hartree per atom

```
data_KGe2Pd2
_chemical_formula_sum 'K1 Ge2 Pd2'
_cell_length_a 6.258
_cell_length_b 6.258
_cell_length_c 6.258
_cell_angle_alpha 138.50
_cell_angle_beta 138.50
_cell_angle_gamma 60.14
_space_group_name_H-M_alt 'P 1'
_space_group_IT_number 1
loop_
_space_group_symop_operation_xyz
'x,y,z'
loop_
_atom_site_label
_atom_site_type_symbol
_atom_site_fract_x
_atom_site_fract_y
_atom_site_fract_z
Pd1 Pd 0.250 0.750 0.500
Ge1 Ge 0.364 0.364 0.000
Pd2 Pd 0.750 0.250 0.500
Ge2 Ge 0.636 0.636 0.000
K1 K 0.000 0.000 0.000
```

---

Crystalline Nd4Sb3O4 at its relaxed geometry, computed with PBE-GGA.

Results
- V: 245 Å³/cell
- Crystal system: orthorhombic
- Space-group type: Amm2, No. 38
- Energy: -0.258 hartree per atom
- M_tot: 0.0 μB/f.u.

```
data_Nd4Sb3O4
_chemical_formula_sum 'Nd4 Sb3 O4'
_cell_length_a 8.477
_cell_length_b 7.429
_cell_length_c 7.429
_cell_angle_alpha 31.51
_cell_angle_beta 90.00
_cell_angle_gamma 90.00
_space_group_name_H-M_alt 'P 1'
_space_group_IT_number 1
loop_
_space_group_symop_operation_xyz
'x,y,z'
loop_
_atom_site_label
_atom_site_type_symbol
_atom_site_fract_x
_atom_site_fract_y
_atom_site_fract_z
Nd1 Nd 0.000 0.974 0.974
O1 O 0.256 0.909 0.909
Nd2 Nd 0.261 0.327 0.327
Sb1 Sb 0.821 0.635 0.635
Nd3 Nd 0.500 0.993 0.993
Sb2 Sb 0.500 0.692 0.692
Sb3 Sb 0.179 0.635 0.635
Nd4 Nd 0.739 0.327 0.327
O2 O 0.500 0.415 0.415
O3 O 0.000 0.387 0.387
O4 O 0.744 0.909 0.909
```

---

Crystalline BiPtNO at its relaxed geometry, computed with PBE-GGA.

Results
- V: 122 Å³/cell
- Crystal system: orthorhombic
- Space-group type: Pmc2_1, No. 26
- Energy: -0.208 hartree per atom
- M_tot: 0.0 μB/f.u.

```
data_BiPtNO
_chemical_formula_sum 'Bi2 Pt2 N2 O2'
_cell_length_a 3.883
_cell_length_b 5.514
_cell_length_c 5.719
_cell_angle_alpha 90.00
_cell_angle_beta 90.00
_cell_angle_gamma 90.00
_space_group_name_H-M_alt 'P 1'
_space_group_IT_number 1
loop_
_space_group_symop_operation_xyz
'x,y,z'
loop_
_atom_site_label
_atom_site_type_symbol
_atom_site_fract_x
_atom_site_fract_y
_atom_site_fract_z
N1 N 0.000 0.450 0.599
Pt1 Pt 0.500 0.478 0.658
O1 O 0.500 0.791 0.855
N2 N 0.000 0.950 0.401
Bi1 Bi 0.000 0.534 0.213
Pt2 Pt 0.500 0.978 0.342
Bi2 Bi 0.000 0.034 0.787
O2 O 0.500 0.291 0.145
```